The following is a DFT calculation (PBE-GGA) of a relaxed structure of Ce2Pa3Te8.

Output
Formation energy from raw total energies ... -970 meV per atom
Density ... 7696 kg/m3
Volume ... 33.10 Å³ per atom

Cell: 9.2720 9.2720 5.3345 Å, 90.00 90.00 110.25°
With the nearest neighbours (Å) after each atom.
Atoms (fractional coordinates):
Ce 0.2394 0.7606 0.0000  8 Te 3.20-3.45
Ce 0.7606 0.2394 0.0000  8 Te 3.20-3.45
Pa 0.2403 0.2403 0.5000  8 Te 3.16-3.27
Pa 0.5000 0.5000 0.0000  8 Te 3.15-3.20
Pa 0.7597 0.7597 0.5000  8 Te 3.16-3.27
Te 0.1230 0.8770 0.5000  2 Pa 3.16, 2 Ce 3.20
Te 0.1381 0.3789 0.0000  3 Pa 3.15-3.24, 2 Ce 3.28-3.33
Te 0.3789 0.1381 0.0000  3 Pa 3.15-3.24, 2 Ce 3.28-3.33
Te 0.3836 0.6164 0.5000  4 Pa 3.20-3.27, 2 Ce 3.45, 1 Te 3.54
Te 0.6164 0.3836 0.5000  4 Pa 3.20-3.27, 2 Ce 3.45, 1 Te 3.54
Te 0.6211 0.8619 0.0000  3 Pa 3.15-3.24, 2 Ce 3.28-3.33
Te 0.8619 0.6211 0.0000  3 Pa 3.15-3.24, 2 Ce 3.28-3.33
Te 0.8770 0.1230 0.5000  2 Pa 3.16, 2 Ce 3.20